i) Entry from Alexandria: a relaxed structure of Zr2BeCuH (GGA-PBE).

Calculated values
* SG: No. 123

abc: 4.521 4.521 3.353
angles: 90.00 90.00 90.00
Atoms (fractional coordinates):
Zr 0.000 0.500 0.000
Zr 0.500 0.000 0.000
Be 0.000 0.000 0.500
Cu 0.500 0.500 0.500
H 0.000 0.000 0.000

***

ii) Entry from Alexandria: a relaxed structure of Zr2BeCuH (GGA-PBE).

Calculated values
* SG: No. 123

abc: 4.416 4.416 3.562
angles: 90.00 90.00 90.00
Atoms (fractional coordinates):
Zr 0.000 0.500 0.000
Zr 0.500 0.000 0.000
Be 0.000 0.000 0.500
Cu 0.500 0.500 0.500
H 0.500 0.500 0.000

***

Most favorable structure: ii). The second most favorable one is 7 meV/atom above it.

***

i) Entry from Alexandria: a relaxed structure of HfBeCu3 (GGA-PBE).

Calculated values
* SG: No. 221

abc: 4.859 4.859 4.859
angles: 90.00 90.00 90.00
Atoms (fractional coordinates):
Hf 0.000 0.000 0.000
Be 0.500 0.500 0.500
Cu 0.000 0.000 0.500
Cu 0.000 0.500 0.000
Cu 0.500 0.000 0.000

***

ii) Entry from Alexandria: a relaxed structure of HfBeCu3 (GGA-PBE).

Calculated values
* SG: No. 221

abc: 4.087 4.087 4.087
angles: 90.00 90.00 90.00
Atoms (fractional coordinates):
Hf 0.000 0.000 0.000
Be 0.500 0.500 0.500
Cu 0.000 0.500 0.500
Cu 0.500 0.000 0.500
Cu 0.500 0.500 0.000

***

Most favorable structure: ii). The second most favorable one is 1546 meV/atom above it.

***

i) Entry from Alexandria: a relaxed structure of BeCu2Hg (GGA-PBE).

Calculated values
* SG: No. 166

abc: 8.359 8.359 8.359
angles: 19.42 19.42 19.42
Atoms (fractional coordinates):
Be 0.000 0.000 0.000
Cu 0.266 0.266 0.266
Cu 0.734 0.734 0.734
Hg 0.500 0.500 0.500

***

ii) Entry from Alexandria: a relaxed structure of BeCu2Hg (GGA-PBE).

Calculated values
* SG: No. 119

abc: 4.390 4.390 4.390
angles: 125.53 125.53 80.66
Atoms (fractional coordinates):
Be 0.000 0.000 0.000
Cu 0.250 0.750 0.500
Cu 0.500 0.500 0.000
Hg 0.750 0.250 0.500

***

Most favorable structure: ii). The second most favorable one is 44 meV/atom above it.

***

i) Entry from Alexandria: a relaxed structure of BeCu2Hg (GGA-PBE).

Calculated values
* SG: No. 6

abc: 2.773 3.978 5.171
angles: 90.00 105.05 90.00
Atoms (fractional coordinates):
Be 0.000 0.000 0.000
Cu 0.106 0.500 0.219
Cu 0.692 0.000 0.394
Hg 0.381 0.500 0.745

***

ii) Entry from Alexandria: a relaxed structure of BeCu2Hg (GGA-PBE).

Calculated values
* SG: No. 12

abc: 4.936 4.936 4.284
angles: 112.90 112.90 34.08
Atoms (fractional coordinates):
Be 0.000 0.000 0.000
Cu 0.282 0.282 0.784
Cu 0.718 0.718 0.216
Hg 0.500 0.500 0.500

***

Most favorable structure: ii). The second most favorable one is 43 meV/atom above it.

***

i) Entry from Alexandria: a relaxed structure of BeCu2Hg (GGA-PBE).

Calculated values
* SG: No. 225

abc: 4.269 4.269 4.269
angles: 60.00 60.00 60.00
Atoms (fractional coordinates):
Be 0.000 0.000 0.000
Cu 0.250 0.250 0.250
Cu 0.750 0.750 0.750
Hg 0.500 0.500 0.500

***

ii) Entry from Alexandria: a relaxed structure of BeCu2Hg (GGA-PBE).

Calculated values
* SG: No. 123

abc: 3.714 3.714 3.924
angles: 90.00 90.00 90.00
Atoms (fractional coordinates):
Be 0.000 0.000 0.000
Cu 0.000 0.500 0.500
Cu 0.500 0.000 0.500
Hg 0.500 0.500 0.000

***

Most favorable structure: ii). The second most favorable one is 43 meV/atom above it.

***

i) Entry from Alexandria: a relaxed structure of BeCuHg (GGA-PBE).

Calculated values
* SG: No. 156

abc: 4.120 4.120 2.908
angles: 90.00 90.00 120.00
Atoms (fractional coordinates):
Be 0.000 0.000 0.000
Cu 0.667 0.333 0.139
Hg 0.333 0.667 0.620

***

ii) Entry from Alexandria: a relaxed structure of BeCuHg (GGA-PBE).

Calculated values
* SG: No. 107

abc: 5.100 5.100 5.100
angles: 145.70 145.70 49.29
Atoms (fractional coordinates):
Be 0.000 0.000 0.000
Cu 0.608 0.608 0.000
Hg 0.310 0.310 0.000

***

Most favorable structure: ii). The second most favorable one is 105 meV/atom above it.

***

i) Entry from Alexandria: a relaxed structure of HoBeCu3 (GGA-PBE).

Calculated values
* SG: No. 221

abc: 4.228 4.228 4.228
angles: 90.00 90.00 90.00
Atoms (fractional coordinates):
Ho 0.000 0.000 0.000
Be 0.500 0.500 0.500
Cu 0.000 0.500 0.500
Cu 0.500 0.000 0.500
Cu 0.500 0.500 0.000

***

ii) Entry from Alexandria: a relaxed structure of HoBeCu3 (GGA-PBE).

Calculated values
* SG: No. 194

abc: 5.894 5.894 4.897
angles: 90.00 90.00 120.00
Atoms (fractional coordinates):
Ho 0.333 0.667 0.250
Ho 0.667 0.333 0.750
Be 0.000 0.000 0.000
Be 0.000 0.000 0.500
Cu 0.187 0.373 0.750
Cu 0.187 0.813 0.750
Cu 0.373 0.187 0.250
Cu 0.627 0.813 0.750
Cu 0.813 0.187 0.250
Cu 0.813 0.627 0.250

***

Most favorable structure: ii). The second most favorable one is 80 meV/atom above it.

***

i) Entry from Alexandria: a relaxed structure of Ho2BeCu (GGA-PBE).

Calculated values
* SG: No. 225

abc: 4.846 4.846 4.846
angles: 60.00 60.00 60.00
Atoms (fractional coordinates):
Ho 0.250 0.250 0.250
Ho 0.750 0.750 0.750
Be 0.000 0.000 0.000
Cu 0.500 0.500 0.500

***

ii) Entry from Alexandria: a relaxed structure of Ho2BeCu (GGA-PBE).

Calculated values
* SG: No. 123

abc: 3.415 3.415 6.859
angles: 90.00 90.00 90.00
Atoms (fractional coordinates):
Ho 0.000 0.000 0.244
Ho 0.000 0.000 0.756
Be 0.500 0.500 0.000
Cu 0.500 0.500 0.500

***

Most favorable structure: ii). The second most favorable one is 11 meV/atom above it.

***

i) Entry from Alexandria: a relaxed structure of BeCuI (GGA-PBE).

Calculated values
* SG: No. 1

abc: 3.654 3.754 9.404
angles: 93.55 90.71 95.47
Atoms (fractional coordinates):
Be 0.000 0.000 0.000
Be 0.007 0.522 0.150
Cu 0.460 0.066 0.180
Cu 0.501 0.530 0.005
I 0.475 0.973 0.791
I 0.951 0.372 0.390

***

ii) Entry from Alexandria: a relaxed structure of BeCuI (GGA-PBE).

Calculated values
* SG: No. 2

abc: 3.810 3.971 9.451
angles: 83.16 86.30 70.66
Atoms (fractional coordinates):
Be 0.121 0.233 0.458
Be 0.879 0.767 0.542
Cu 0.396 0.676 0.390
Cu 0.604 0.324 0.610
I 0.314 0.241 0.203
I 0.686 0.759 0.797

***

Most favorable structure: ii). The second most favorable one is 15 meV/atom above it.

***

i) Entry from Alexandria: a relaxed structure of BeCuI (GGA-PBE).

Calculated values
* SG: No. 6

abc: 3.828 3.568 5.476
angles: 90.00 109.68 90.00
Atoms (fractional coordinates):
Be 0.000 0.000 0.000
Cu 0.137 0.500 0.270
I 0.354 0.000 0.698

***

ii) Entry from Alexandria: a relaxed structure of BeCuI (GGA-PBE).

Calculated values
* SG: No. 8

abc: 3.682 3.682 5.319
angles: 90.83 90.83 57.99
Atoms (fractional coordinates):
Be 0.000 0.000 0.000
Cu 0.688 0.688 0.772
I 0.462 0.462 0.320

***

Most favorable structure: i). The second most favorable one is 46 meV/atom above it.

***

i) Entry from Alexandria: a relaxed structure of BeCuI (GGA-PBE).

Calculated values
* SG: No. 1

abc: 3.738 4.161 9.845
angles: 82.89 89.84 63.31
Atoms (fractional coordinates):
Be 0.000 0.000 0.000
Be 0.014 0.976 0.788
Cu 0.346 0.310 0.881
Cu 0.670 0.661 0.937
I 0.065 0.867 0.229
I 0.454 0.100 0.616

***

ii) Entry from Alexandria: a relaxed structure of BeCuI (GGA-PBE).

Calculated values
* SG: No. 8

abc: 5.950 5.950 6.903
angles: 108.77 108.77 44.50
Atoms (fractional coordinates):
Be 0.250 0.750 0.000
Be 0.750 0.250 0.000
Cu 0.138 0.138 0.905
Cu 0.680 0.680 0.094
I 0.314 0.314 0.735
I 0.929 0.929 0.265

***

iii) Entry from Alexandria: a relaxed structure of BeCuI (GGA-PBE).

Calculated values
* SG: No. 1

abc: 3.796 4.113 9.561
angles: 89.43 78.69 62.52
Atoms (fractional coordinates):
Be 0.000 0.000 0.000
Be 0.238 0.368 0.158
Cu 0.630 0.646 0.096
Cu 0.867 0.045 0.226
I 0.186 0.215 0.419
I 0.636 0.900 0.825

***

Most favorable structure: iii). The second most favorable one is 36 meV/atom above it.

***

i) Entry from Alexandria: a relaxed structure of BeCu2I (GGA-PBE).

Calculated values
* SG: No. 122

abc: 8.185 8.185 8.185
angles: 148.44 148.44 45.23
Atoms (fractional coordinates):
Be 0.000 0.000 0.000
Be 0.750 0.250 0.500
Cu 0.007 0.625 0.882
Cu 0.375 0.257 0.382
Cu 0.743 0.125 0.118
Cu 0.875 0.993 0.618
I 0.250 0.750 0.500
I 0.500 0.500 0.000

***

ii) Entry from Alexandria: a relaxed structure of BeCu2I (GGA-PBE).

Calculated values
* SG: No. 225

abc: 4.572 4.572 4.572
angles: 60.00 60.00 60.00
Atoms (fractional coordinates):
Be 0.000 0.000 0.000
Cu 0.250 0.250 0.250
Cu 0.750 0.750 0.750
I 0.500 0.500 0.500

***

Most favorable structure: i). The second most favorable one is 467 meV/atom above it.